Tm6Sc12In | the Alexandria database | PBE-GGA | relaxed; ΔE_f = 0.10 eV/atom; crystal system = trigonal
1.0
5.819 3.360 4.320
-5.819 3.360 4.320
0.000 -6.719 4.320
Tm Sc In
6 12 1
Direct
0.216 0.763 0.382
0.237 0.618 0.784
0.382 0.216 0.763
0.618 0.784 0.237
0.763 0.382 0.216
0.784 0.237 0.618
0.032 0.965 0.713
0.035 0.287 0.968
0.130 0.360 0.443
0.287 0.968 0.035
0.360 0.443 0.130
0.443 0.130 0.360
0.557 0.870 0.640
0.640 0.557 0.870
0.713 0.032 0.965
0.870 0.640 0.557
0.965 0.713 0.032
0.968 0.035 0.287
0.500 0.500 0.500

---

KIn4Ir | the Alexandria database | PBE-GGA | relaxed; ΔE_f = -0.14 eV/atom; crystal system = orthorhombic
1.0
8.969 0.000 0.000
0.000 4.213 0.000
0.000 0.000 8.102
K In Ir
2 8 2
Direct
0.250 0.000 0.103
0.750 0.000 0.897
0.000 0.000 0.500
0.070 0.500 0.808
0.250 0.500 0.437
0.430 0.500 0.808
0.500 0.000 0.500
0.570 0.500 0.192
0.750 0.500 0.563
0.930 0.500 0.192
0.250 0.000 0.679
0.750 0.000 0.321

---

Ca2CdRh3O8 | the Alexandria database | PBE-GGA | relaxed; E_form (uncorrected) = -1.426 eV per atom; crystal system = trigonal
1.0
3.211 1.854 5.246
-3.211 1.854 5.246
0.000 -3.708 5.246
Ca Cd Rh O
2 1 3 8
Direct
0.000 0.000 0.000
0.381 0.381 0.381
0.618 0.618 0.618
0.001 0.001 0.498
0.001 0.498 0.001
0.498 0.001 0.001
0.200 0.750 0.750
0.232 0.232 0.232
0.250 0.250 0.800
0.250 0.800 0.250
0.750 0.200 0.750
0.750 0.750 0.200
0.767 0.767 0.767
0.800 0.250 0.250

---

TlGe6Se8 | the Alexandria database | PBE-GGA | relaxed; E_form (uncorrected) = -0.149 eV per atom; crystal system = trigonal
1.0
5.022 2.899 4.744
-5.022 2.899 4.744
0.000 -5.798 4.744
Tl Ge Se
1 6 8
Direct
0.000 0.000 0.000
0.179 0.610 0.367
0.367 0.179 0.610
0.390 0.633 0.821
0.610 0.367 0.179
0.633 0.821 0.390
0.821 0.390 0.633
0.117 0.390 0.766
0.234 0.883 0.610
0.288 0.288 0.288
0.390 0.766 0.117
0.610 0.234 0.883
0.712 0.712 0.712
0.766 0.117 0.390
0.883 0.610 0.234

---

Nd9DyTl2 | the Alexandria database | PBE-GGA | relaxed; ΔE_f = -0.13 eV/atom; crystal system = tetragonal
1.0
5.012 0.000 0.000
0.000 5.012 0.000
0.000 0.000 15.417
Nd Dy Tl
9 1 2
Direct
0.000 0.000 0.000
0.000 0.000 0.337
0.000 0.000 0.663
0.000 0.500 0.172
0.000 0.500 0.500
0.000 0.500 0.828
0.500 0.000 0.172
0.500 0.000 0.500
0.500 0.000 0.828
0.500 0.500 0.000
0.500 0.500 0.339
0.500 0.500 0.661

---

AlIrRh | the Alexandria database | PBE-GGA | relaxed; ΔE_f = -0.34 eV/atom; crystal system = orthorhombic
1.0
0.000 2.358 6.412
1.431 0.000 6.412
1.431 2.358 0.000
Al Ir Rh
1 1 1
Direct
0.000 0.000 0.000
0.658 0.658 0.342
0.345 0.345 0.655

---

Zn5Tc | the Alexandria database | PBE-GGA | relaxed; ΔE_f = -0.02 eV/atom; crystal system = monoclinic
1.0
5.124 0.000 0.000
0.000 7.353 0.000
-2.304 0.000 4.578
Zn Tc
10 2
Direct
0.116 0.083 0.374
0.116 0.417 0.374
0.375 0.583 0.116
0.375 0.917 0.116
0.384 0.750 0.614
0.616 0.250 0.386
0.625 0.083 0.884
0.625 0.417 0.884
0.884 0.583 0.626
0.884 0.917 0.626
0.114 0.250 0.888
0.886 0.750 0.112

---

YPbSe2 | the Alexandria database | PBE-GGA | relaxed; E_form (uncorrected) = -1.027 eV per atom; crystal system = tetragonal
1.0
3.630 0.000 0.000
0.000 3.630 0.000
0.000 0.000 7.611
Y Pb Se
1 1 2
Direct
0.000 0.000 0.000
0.000 0.000 0.500
0.500 0.500 0.213
0.500 0.500 0.787

---

Nd2Sc3Tl4 | the Alexandria database | PBE-GGA | relaxed; ΔE_f = -0.26 eV/atom; crystal system = orthorhombic
1.0
3.409 -8.269 0.000
3.409 8.269 0.000
0.000 0.000 8.710
Nd Sc Tl
4 6 8
Direct
0.111 0.889 0.918
0.389 0.611 0.418
0.611 0.389 0.582
0.889 0.111 0.082
0.000 0.000 0.500
0.032 0.468 0.750
0.468 0.032 0.250
0.500 0.500 0.000
0.532 0.968 0.750
0.968 0.532 0.250
0.182 0.818 0.543
0.208 0.292 0.750
0.292 0.208 0.250
0.318 0.682 0.043
0.682 0.318 0.957
0.708 0.792 0.750
0.792 0.708 0.250
0.818 0.182 0.457

---

LiAcSbH | the Alexandria database | PBE-GGA | relaxed; crystal system = trigonal
1.0
4.602 0.000 0.000
-2.301 3.985 0.000
0.000 0.000 4.597
Li Ac Sb H
1 1 1 1
Direct
0.000 0.000 0.000
0.667 0.333 0.532
0.333 0.667 0.041
0.000 0.000 0.559

---

Number 1: energy -0.2006 Ha/atom. Number 2: energy -0.1332 Ha/atom. Number 3: energy -0.2273 Ha/atom. Number 4: energy -0.1474 Ha/atom. Number 5: energy -0.1647 Ha/atom. Number 6: energy -0.2569 Ha/atom. Number 7: energy -0.1033 Ha/atom. Number 8: energy -0.1952 Ha/atom. Number 9: energy -0.1645 Ha/atom. Number 10: energy -0.1572 Ha/atom.